4
Lattice="4.8811 0.0000 0.0000 2.4405 4.2271 0.0000 2.4405 1.4090 3.9854" Properties=species:S:1:pos:R:3 comment="HoGaSnPd, optimized geometry, DFT PBE" spacegroup="No. 216" vol_a3_per_cell=82.2 e_tot_ev_per_atom=-4.815 dos_at_fermi_per_ev_cell=0.98 density_g_cm3=9.28 delta_e_f_ev_per_atom=-0.6154 pbc="T T T"
Ho 4.8811 2.8181 1.9927
Pd 7.3216 4.2271 2.9890
Ga 2.4405 1.4090 0.9963
Sn 0.0000 0.0000 0.0000



6
Lattice="-1.5498 -4.0687 1.1414 3.2851 1.9141 2.4090 -5.2335 3.2673 4.5408" Properties=species:S:1:pos:R:3 comment="SrHoGa2Pd2, optimized geometry, DFT PBE" spacegroup="No. 164" vol_a3_per_cell=134.4 e_tot_ev_per_atom=-4.565 dos_at_fermi_per_ev_cell=3.27 density_g_cm3=7.47 delta_e_f_ev_per_atom=-0.7817 pbc="T T T"
Ho -2.6167 1.6336 2.2704
Ga -3.6550 0.2460 4.7888
Ga 0.1569 0.8666 3.3023
Pd -1.9979 2.2119 5.1719
Pd -1.5002 -1.0992 2.9192
Sr 0.0000 0.0000 0.0000



4
Lattice="-4.0523 -1.9397 2.5647 -3.8852 -2.2172 -2.5983 -0.6909 -5.1206 0.2528" Properties=species:S:1:pos:R:3 comment="SrHoGaPd, optimized geometry, DFT PBE" spacegroup="No. 216" vol_a3_per_cell=97.9 e_tot_ev_per_atom=-4.103 dos_at_fermi_per_ev_cell=2.73 density_g_cm3=7.27 delta_e_f_ev_per_atom=-0.4835 pbc="T T T"
Pd -6.4713 -6.9582 0.1645
Sr 0.0000 0.0000 0.0000
Ho -4.3142 -4.6388 0.1096
Ga -2.1571 -2.3194 0.0548



What did the second record say?
6
Lattice="-1.5498 -4.0687 1.1414 3.2851 1.9141 2.4090 -5.2335 3.2673 4.5408" Properties=species:S:1:pos:R:3 comment="SrHoGa2Pd2, optimized geometry, DFT PBE" spacegroup="No. 164" vol_a3_per_cell=134.4 e_tot_ev_per_atom=-4.565 dos_at_fermi_per_ev_cell=3.27 density_g_cm3=7.47 delta_e_f_ev_per_atom=-0.7817 pbc="T T T"
Ho -2.6167 1.6336 2.2704
Ga -3.6550 0.2460 4.7888
Ga 0.1569 0.8666 3.3023
Pd -1.9979 2.2119 5.1719
Pd -1.5002 -1.0992 2.9192
Sr 0.0000 0.0000 0.0000